## Rb3DyTm2S6 (PBE)

Data for a relaxed Rb3DyTm2S6 crystal.

Results
Magnetization: 0.00 μB per formula unit
Raw formation energy: -1853 meV/atom
SG: C2/m (12)

abc: 7.005 7.005 8.027
angles: 98.37 98.37 120.00
Fractional coordinates of all 12 atoms:
Rb  0.000  0.000  0.000
Rb  0.334  0.666  0.000
Rb  0.666  0.334  0.000
Dy  0.500  0.500  0.500
Tm  0.167  0.833  0.500
Tm  0.833  0.167  0.500
S  0.100  0.437  0.310
S  0.227  0.227  0.690
S  0.437  0.100  0.310
S  0.563  0.900  0.690
S  0.773  0.773  0.310
S  0.900  0.563  0.690